# 1
This record from the Alexandria database describes an optimized crystal structure of ScRu2Cl. The functional is PBE.

Calculated values
spin magnetization: 0.00 Bohr magnetons per cell
raw total energy: -6.522 eV per atom
DOS at the Fermi energy: 1.19 states/eV/atom
SG: Pmmm, No. 47
energy above the lowest structure with this stoichiometry: 389 meV per atom

Cell and atoms, written as POSCAR:
```
ScRu2Cl
1.0
3.072 0.000 0.000
0.000 4.369 0.000
0.000 0.000 4.967
Sc Ru Cl
1 2 1
Direct
0.000 0.000 0.000
0.500 0.500 0.245
0.500 0.500 0.755
0.000 0.000 0.500
```

***

# 2
This record from the Alexandria database describes an optimized crystal structure of ScRuCl2. The functional is PBE.

Calculated values
spin magnetization: 0.69 Bohr magnetons per cell
raw total energy: -5.081 eV per atom
DOS at the Fermi energy: 0.64 states/eV/atom
SG: I-4m2, No. 119
energy above the lowest structure with this stoichiometry: 541 meV per atom

Cell and atoms, written as POSCAR:
```
ScRuCl2
1.0
3.676 0.000 0.000
0.000 3.676 0.000
0.000 0.000 10.050
Sc Ru Cl
2 2 4
Direct
0.000 0.000 0.000
0.500 0.500 0.500
0.000 0.500 0.250
0.500 0.000 0.750
0.000 0.000 0.500
0.000 0.500 0.750
0.500 0.000 0.250
0.500 0.500 0.000
```

***

# 3
This record from the Alexandria database describes an optimized crystal structure of ScRu2Cl. The functional is PBE.

Calculated values
spin magnetization: 0.00 Bohr magnetons per cell
raw total energy: -6.357 eV per atom
DOS at the Fermi energy: 1.83 states/eV/atom
SG: F-43m, No. 216
energy above the lowest structure with this stoichiometry: 554 meV per atom

Cell and atoms, written as POSCAR:
```
ScRu2Cl
1.0
6.375 0.000 0.000
0.000 6.375 0.000
0.000 0.000 6.375
Sc Ru Cl
4 8 4
Direct
0.000 0.000 0.000
0.000 0.500 0.500
0.500 0.000 0.500
0.500 0.500 0.000
0.000 0.000 0.500
0.000 0.500 0.000
0.250 0.250 0.750
0.250 0.750 0.250
0.500 0.000 0.000
0.500 0.500 0.500
0.750 0.250 0.250
0.750 0.750 0.750
0.250 0.250 0.250
0.250 0.750 0.750
0.750 0.250 0.750
0.750 0.750 0.250
```

***

# 4
This record from the Alexandria database describes an optimized crystal structure of ScRuCl2. The functional is PBE.

Calculated values
spin magnetization: 0.00 Bohr magnetons per cell
raw total energy: -5.157 eV per atom
DOS at the Fermi energy: 1.02 states/eV/atom
SG: Pmmm, No. 47
energy above the lowest structure with this stoichiometry: 464 meV per atom

Cell and atoms, written as POSCAR:
```
ScRuCl2
1.0
3.128 0.000 0.000
0.000 4.133 0.000
0.000 0.000 5.368
Sc Ru Cl
1 1 2
Direct
0.000 0.000 0.000
0.500 0.000 0.500
0.000 0.500 0.500
0.500 0.500 0.000
```

***

# 5
This record from the Alexandria database describes an optimized crystal structure of ScRuCl2. The functional is PBE.

Calculated values
spin magnetization: 1.39 Bohr magnetons per cell
raw total energy: -5.280 eV per atom
DOS at the Fermi energy: 0.97 states/eV/atom
SG: R-3m, No. 166
energy above the lowest structure with this stoichiometry: 341 meV per atom

Cell and atoms, written as POSCAR:
```
ScRuCl2
1.0
3.177 0.000 0.000
-1.588 2.751 0.000
0.000 0.000 24.715
Sc Ru Cl
3 3 6
Direct
0.000 0.000 0.000
0.333 0.667 0.667
0.667 0.333 0.333
0.000 0.000 0.500
0.333 0.667 0.167
0.667 0.333 0.833
0.000 0.000 0.405
0.000 0.000 0.595
0.333 0.667 0.072
0.333 0.667 0.261
0.667 0.333 0.739
0.667 0.333 0.928
```

***

# 6
This record from the Alexandria database describes an optimized crystal structure of ScRu2Cl. The functional is PBE.

Calculated values
spin magnetization: 0.00 Bohr magnetons per cell
raw total energy: -6.612 eV per atom
DOS at the Fermi energy: 1.21 states/eV/atom
SG: Pmmm, No. 47
energy above the lowest structure with this stoichiometry: 299 meV per atom

Cell and atoms, written as POSCAR:
```
ScRu2Cl
1.0
2.963 0.000 0.000
0.000 4.593 0.000
0.000 0.000 4.594
Sc Ru Cl
1 2 1
Direct
0.000 0.000 0.000
0.000 0.500 0.500
0.500 0.500 0.000
0.500 0.000 0.500
```